# 1
The following is a PBE-GGA calculation of a geometry-optimized NpBeTcP2 structure, from the Alexandria database.

a = 6.7249 Å, b = 6.7249 Å, c = 6.7249 Å
α = 150.08°, β = 150.08°, γ = 42.83°
Fractional coordinates of all 5 atoms:
Np 0.0000 0.0000 0.0000
Be 0.2500 0.7500 0.5000
Tc 0.7500 0.2500 0.5000
P 0.3803 0.3803 0.0000
P 0.6197 0.6197 0.0000

Results
Space-group type: I-4m2 (119)
DFT formation energy in meV/atom: -541.0
Calculated total energy in eV/atom: -8.111

# 2
The following is a PBE-GGA calculation of a geometry-optimized CePrZnRh structure, from the Alexandria database.

a = 5.0866 Å, b = 5.0866 Å, c = 5.0866 Å
α = 60.00°, β = 60.00°, γ = 60.00°
Fractional coordinates of all 4 atoms:
Ce 0.0000 0.0000 0.0000
Pr 0.5000 0.5000 0.5000
Zn 0.2500 0.2500 0.2500
Rh 0.7500 0.7500 0.7500

Results
Space-group type: F-43m (216)
DFT formation energy in meV/atom: -401.9
Calculated total energy in eV/atom: -5.237

# 3
The following is a PBE-GGA calculation of a geometry-optimized Nd3Sm2Dy8 structure, from the Alexandria database.

a = 6.2046 Å, b = 8.0194 Å, c = 9.4923 Å
α = 65.03°, β = 89.98°, γ = 82.56°
Fractional coordinates of all 13 atoms:
Nd 0.0000 0.0000 0.0000
Nd 0.4610 0.2326 0.8454
Nd 0.5390 0.7674 0.1546
Sm 0.3838 0.6936 0.5390
Sm 0.6162 0.3064 0.4610
Dy 0.0773 0.5357 0.3086
Dy 0.1533 0.0761 0.6144
Dy 0.2295 0.6146 0.9230
Dy 0.3085 0.1551 0.2321
Dy 0.6915 0.8449 0.7679
Dy 0.7705 0.3854 0.0770
Dy 0.8467 0.9239 0.3856
Dy 0.9227 0.4643 0.6914

Results
Excess energy over the best structure of this formula in the dataset in meV/atom: 0.0
Space-group type: P-1 (2)
DFT formation energy in meV/atom: 16.7
Calculated total energy in eV/atom: -4.642

# 4
The following is a PBE-GGA calculation of a geometry-optimized ZrBeCl2 structure, from the Alexandria database.

a = 5.7592 Å, b = 5.7592 Å, c = 5.7592 Å
α = 142.71°, β = 142.71°, γ = 53.75°
Fractional coordinates of all 4 atoms:
Zr 0.0000 0.0000 0.0000
Be 0.2500 0.7500 0.5000
Cl 0.5000 0.5000 0.0000
Cl 0.7500 0.2500 0.5000

Results
Excess energy over the best structure of this formula in the dataset in meV/atom: 750.0
Space-group type: I-4m2 (119)
Calculated total energy in eV/atom: -4.044
Formation energy (no corrections) in meV/atom: -52

# 5
The following is a PBE-GGA calculation of a geometry-optimized LaCePr6 structure, from the Alexandria database.

a = 9.0385 Å, b = 8.2469 Å, c = 6.4100 Å
α = 74.98°, β = 61.79°, γ = 43.23°
Fractional coordinates of all 8 atoms:
La 0.0000 0.0000 0.0000
Ce 0.5000 0.5000 0.5000
Pr 0.1225 0.1225 0.3775
Pr 0.2529 0.2529 0.7471
Pr 0.3775 0.3775 0.1225
Pr 0.6225 0.6225 0.8775
Pr 0.7471 0.7471 0.2529
Pr 0.8775 0.8775 0.6225

Results
Excess energy over the best structure of this formula in the dataset in meV/atom: 6.6
Space-group type: Fmmm (69)
DFT formation energy in meV/atom: 50.6
Calculated total energy in eV/atom: -4.892

# 6
The following is a PBE-GGA calculation of a geometry-optimized LiTl3Rh structure, from the Alexandria database.

a = 5.2780 Å, b = 5.2780 Å, c = 5.2780 Å
α = 90.00°, β = 90.00°, γ = 90.00°
Fractional coordinates of all 5 atoms:
Li 0.0000 0.0000 0.0000
Tl 0.0000 0.5000 0.5000
Tl 0.5000 0.0000 0.5000
Tl 0.5000 0.5000 0.0000
Rh 0.5000 0.5000 0.5000

Results
Excess energy over the best structure of this formula in the dataset in meV/atom: 161.1
Space-group type: Pm-3m (221)
DFT formation energy in meV/atom: 72.3
Calculated total energy in eV/atom: -3.201

# 7
The following is a PBE-GGA calculation of a geometry-optimized YHoPu structure, from the Alexandria database.

a = 7.8018 Å, b = 7.8018 Å, c = 7.8018 Å
α = 154.06°, β = 154.06°, γ = 37.02°
Fractional coordinates of all 3 atoms:
Y 0.0000 0.0000 0.0000
Ho 0.3283 0.3283 0.0000
Pu 0.6661 0.6661 0.0000

Results
Excess energy over the best structure of this formula in the dataset in meV/atom: 0.0
Space-group type: I4mm (107)
DFT formation energy in meV/atom: 114.6
Calculated total energy in eV/atom: -8.343

# 8
The following is a PBE-GGA calculation of a geometry-optimized La3IrPb2 structure, from the Alexandria database.

a = 13.1743 Å, b = 4.6048 Å, c = 12.2894 Å
α = 90.00°, β = 90.00°, γ = 90.00°
Fractional coordinates of all 24 atoms:
La 0.0545 0.2500 0.1300
La 0.1168 0.7500 0.5410
La 0.2462 0.2500 0.7939
La 0.2538 0.7500 0.2939
La 0.3832 0.2500 0.0410
La 0.4455 0.7500 0.6300
La 0.5545 0.2500 0.3700
La 0.6168 0.7500 0.9590
La 0.7462 0.2500 0.7061
La 0.7538 0.7500 0.2061
La 0.8832 0.2500 0.4590
La 0.9455 0.7500 0.8700
Ir 0.1252 0.2500 0.3668
Ir 0.3748 0.7500 0.8668
Ir 0.6252 0.2500 0.1332
Ir 0.8748 0.7500 0.6332
Pb 0.0047 0.2500 0.6966
Pb 0.1907 0.7500 0.9989
Pb 0.3093 0.2500 0.4989
Pb 0.4953 0.7500 0.1966
Pb 0.5047 0.2500 0.8034
Pb 0.6907 0.7500 0.5011
Pb 0.8093 0.2500 0.0011
Pb 0.9953 0.7500 0.3034

Results
Excess energy over the best structure of this formula in the dataset in meV/atom: 0.0
Space-group type: Pnma (62)
DFT formation energy in meV/atom: -650.2
Calculated total energy in eV/atom: -5.827